a:
! CaRh3O PBE optimized geometry; values from VASP
&SYSTEM
  ibrav = 0, nat = 5, ntyp = 3
/
ATOMIC_SPECIES
Rh 102.91 Rh.upf
O 16.00 O.upf
Ca 40.08 Ca.upf
ATOMIC_POSITIONS crystal
Rh 0.000 0.000 0.500
Rh 0.500 0.000 0.000
Rh 0.000 0.500 0.000
O 0.000 0.000 0.000
Ca 0.500 0.500 0.500
CELL_PARAMETERS angstrom
4.238 0.000 0.000
0.000 4.238 0.000
0.000 0.000 4.238
! D(E_F)   5.71 states/eV per cell
! Space group   Pm-3m, No. 221

b:
! CaRh3O PBE optimized geometry; values from VASP
&SYSTEM
  ibrav = 0, nat = 5, ntyp = 3
/
ATOMIC_SPECIES
Rh 102.91 Rh.upf
Ca 40.08 Ca.upf
O 16.00 O.upf
ATOMIC_POSITIONS crystal
Rh 0.500 0.000 0.000
Ca 0.000 0.000 0.000
Rh 0.000 0.000 0.500
O 0.500 0.500 0.500
Rh 0.000 0.500 0.000
CELL_PARAMETERS angstrom
4.857 0.000 0.000
0.000 4.857 0.000
0.000 0.000 4.857
! D(E_F)   10.38 states/eV per cell
! Space group   Pm-3m, No. 221

Structures ranked by computed energy, the most stable listed first: a, b.

a:
! Ca3RuO PBE optimized geometry; values from VASP
&SYSTEM
  ibrav = 0, nat = 5, ntyp = 3
/
ATOMIC_SPECIES
Ca 40.08 Ca.upf
Ru 101.07 Ru.upf
O 16.00 O.upf
ATOMIC_POSITIONS crystal
Ca 0.000 0.000 0.500
Ca 0.500 0.000 0.000
Ca 0.000 0.500 0.000
Ru 0.000 0.000 0.000
O 0.500 0.500 0.500
CELL_PARAMETERS angstrom
-0.920 -2.532 4.495
5.055 -1.357 0.270
1.034 4.383 2.680
! D(E_F)   0.64 states/eV per cell
! Space group   Pm-3m, No. 221

b:
! Ca3RuO PBE optimized geometry; values from VASP
&SYSTEM
  ibrav = 0, nat = 5, ntyp = 3
/
ATOMIC_SPECIES
O 16.00 O.upf
Ca 40.08 Ca.upf
Ru 101.07 Ru.upf
ATOMIC_POSITIONS crystal
O 0.000 0.000 0.000
Ca 0.000 0.500 0.000
Ca 0.500 0.000 0.000
Ca 0.000 0.000 0.500
Ru 0.500 0.500 0.500
CELL_PARAMETERS angstrom
4.691 0.000 0.000
0.000 4.691 0.000
0.000 0.000 4.691
! D(E_F)   1.82 states/eV per cell
! Space group   Pm-3m, No. 221

Structures ranked by computed energy, the most stable listed first: b, a.